# 1
# Er5Tm2

A relaxed structure of Er5Tm2 (PBE-GGA, the Alexandria database).

Calculated values
Total DFT energy (no corrections) (eV/cell): -31.6
Theoretical density (g/cm3): 9.2
DFT formation energy (eV per atom): 0.0241
Crystal system: monoclinic
SG: C2/m (12)
Excess energy over the best structure of this formula in the dataset (kJ/mol of atoms): 2.70
D(E_F) (states/eV per atom): 1.297

Lattice parameters (Å, degrees): 7.8267 7.8267 8.5610 111.49 111.49 25.72
Element x y z (fractional)
Er 0.0000 0.0000 0.0000
Er 0.1428 0.1428 0.4284
Er 0.4284 0.4284 0.2854
Er 0.5716 0.5716 0.7146
Er 0.8572 0.8572 0.5716
Tm 0.2857 0.2857 0.8574
Tm 0.7143 0.7143 0.1426

=====

# 2
# ZrVGa2

A relaxed structure of ZrVGa2 (PBE-GGA, the Alexandria database).

Calculated values
Total DFT energy (no corrections) (eV/cell): -24.5
Theoretical density (g/cm3): 6.8
DFT formation energy (eV per atom): -0.1952
Crystal system: cubic
SG: Fm-3m (225)
Excess energy over the best structure of this formula in the dataset (kJ/mol of atoms): 17.40
D(E_F) (states/eV per atom): 0.549

Lattice parameters (Å, degrees): 4.5876 4.5876 4.5876 60.00 60.00 60.00
Element x y z (fractional)
Zr 0.0000 0.0000 0.0000
V 0.5000 0.5000 0.5000
Ga 0.2500 0.2500 0.2500
Ga 0.7500 0.7500 0.7500

=====

# 3
# Nd2PPb

A relaxed structure of Nd2PPb (PBE-GGA, the Alexandria database).

Calculated values
Total DFT energy (no corrections) (eV/cell): -22.6
Theoretical density (g/cm3): 7.4
DFT formation energy (eV per atom): -0.9987
Crystal system: trigonal
SG: R3m (160)
Excess energy over the best structure of this formula in the dataset (kJ/mol of atoms): 3.49
D(E_F) (states/eV per atom): 0.691

Lattice parameters (Å, degrees): 8.7348 8.7348 8.7348 26.70 26.70 26.70
Element x y z (fractional)
Nd 0.0000 0.0000 0.0000
Nd 0.2028 0.2028 0.2028
P 0.6019 0.6019 0.6019
Pb 0.4341 0.4341 0.4341

=====

# 4
# BaMoRh3

A relaxed structure of BaMoRh3 (PBE-GGA, the Alexandria database).

Calculated values
Total DFT energy (no corrections) (eV/cell): -22.6
Theoretical density (g/cm3): 7.5
DFT formation energy (eV per atom): 2.4512
Crystal system: cubic
SG: Pm-3m (221)
Excess energy over the best structure of this formula in the dataset (kJ/mol of atoms): 201.43
D(E_F) (states/eV per atom): 2.544

Lattice parameters (Å, degrees): 4.9288 4.9288 4.9288 90.00 90.00 90.00
Element x y z (fractional)
Ba 0.0000 0.0000 0.0000
Mo 0.5000 0.5000 0.5000
Rh 0.0000 0.0000 0.5000
Rh 0.0000 0.5000 0.0000
Rh 0.5000 0.0000 0.0000

=====

# 5
# LaCe2Sn2Pd2

A relaxed structure of LaCe2Sn2Pd2 (PBE-GGA, the Alexandria database).

Calculated values
Total DFT energy (no corrections) (eV/cell): -40.6
Theoretical density (g/cm3): 8.3
DFT formation energy (eV per atom): -0.7680
Crystal system: trigonal
SG: R-3m (166)
D(E_F) (states/eV per atom): 1.067

Lattice parameters (Å, degrees): 9.4961 9.4961 9.4961 28.57 28.57 28.57
Element x y z (fractional)
La 0.0000 0.0000 0.0000
Ce 0.1431 0.1431 0.1431
Ce 0.8569 0.8569 0.8569
Sn 0.2628 0.2628 0.2628
Sn 0.7372 0.7372 0.7372
Pd 0.4386 0.4386 0.4386
Pd 0.5614 0.5614 0.5614

=====

# 6
# Hf2NbBi

A relaxed structure of Hf2NbBi (PBE-GGA, the Alexandria database).

Calculated values
Total DFT energy (no corrections) (eV/cell): -33.2
Theoretical density (g/cm3): 11.9
DFT formation energy (eV per atom): 0.1648
Crystal system: trigonal
SG: R3m (160)
D(E_F) (states/eV per atom): 1.057

Lattice parameters (Å, degrees): 9.8844 9.8844 9.8844 19.24 19.24 19.24
Element x y z (fractional)
Hf 0.0000 0.0000 0.0000
Hf 0.1538 0.1538 0.1538
Nb 0.7429 0.7429 0.7429
Bi 0.5759 0.5759 0.5759